# 1
BaCoBr2 | PBE | relaxed

The structure in POSCAR format:
```
BaCoBr2
1.0
-1.967 2.947 4.578
1.967 -2.947 4.578
1.967 2.947 -4.578
Ba Co Br
1 1 2
direct
0.000 0.000 0.000
0.500 0.500 0.000
0.321 0.821 0.500
0.679 0.179 0.500
```

Computed properties:
- Space-group type: Immm, No. 71
- Formation energy without anion corrections: -0.721 eV per atom
- Fermi-level density of states: 2.4 states/eV/cell
- Energy above the lowest structure with this stoichiometry: 71 meV/atom

=====

# 2
Rb2ZnNO | PBE | relaxed

The structure in POSCAR format:
```
Rb2ZnNO
1.0
6.310 0.000 0.000
0.000 6.310 0.000
0.000 0.000 3.731
Rb Zn N O
2 1 1 1
direct
0.000 0.500 0.000
0.500 0.000 0.000
0.000 0.000 0.000
0.500 0.500 0.500
0.000 0.000 0.500
```

Computed properties:
- Space-group type: P4/mmm, No. 123
- Formation energy without anion corrections: 0.346 eV per atom
- Fermi-level density of states: 5.5 states/eV/cell

=====

# 3
Ti4In5 | PBE | relaxed

The structure in POSCAR format:
```
Ti4In5
1.0
-4.279 4.279 2.624
4.279 -4.279 2.624
4.279 4.279 -2.624
Ti In
4 5
direct
0.045 0.639 0.685
0.361 0.045 0.406
0.639 0.955 0.594
0.955 0.361 0.315
0.000 0.000 0.000
0.287 0.379 0.666
0.379 0.713 0.092
0.621 0.287 0.908
0.713 0.621 0.334
```

Computed properties:
- Space-group type: I4/m, No. 87
- Calculated formation energy: 0.079 eV per atom
- Fermi-level density of states: 9.0 states/eV/cell
- Energy above the lowest structure with this stoichiometry: 46 meV/atom

=====

# 4
CeHfThSc | PBE | relaxed

The structure in POSCAR format:
```
CeHfThSc
1.0
0.000 3.775 3.775
3.775 0.000 3.775
3.775 3.775 0.000
Ce Hf Th Sc
1 1 1 1
direct
0.000 0.000 0.000
0.250 0.250 0.250
0.500 0.500 0.500
0.750 0.750 0.750
```

Computed properties:
- Space-group type: F-43m, No. 216
- Calculated formation energy: 0.180 eV per atom
- Fermi-level density of states: 9.3 states/eV/cell

=====

# 5
Th4Sn2N | PBE | relaxed

The structure in POSCAR format:
```
Th4Sn2N
1.0
-2.399 2.399 8.532
2.399 -2.399 8.532
2.399 2.399 -8.532
Th Sn N
4 2 1
direct
0.000 0.500 0.500
0.168 0.168 0.000
0.500 0.000 0.500
0.832 0.832 0.000
0.359 0.359 0.000
0.641 0.641 0.000
0.000 0.000 0.000
```

Computed properties:
- Space-group type: I4/mmm, No. 139
- Formation energy without anion corrections: -0.721 eV per atom
- Fermi-level density of states: 6.4 states/eV/cell

=====

# 6
LaPuTeSe | PBE | relaxed

The structure in POSCAR format:
```
LaPuTeSe
1.0
2.169 1.252 7.241
-2.169 1.252 7.241
0.000 -2.505 7.241
La Pu Te Se
1 1 1 1
direct
0.000 0.000 0.000
0.515 0.515 0.515
0.761 0.761 0.761
0.253 0.253 0.253
```

Computed properties:
- Space-group type: R3m, No. 160
- Formation energy without anion corrections: -1.550 eV per atom
- Fermi-level density of states: 9.4 states/eV/cell
- Energy above the lowest structure with this stoichiometry: 0 meV/atom

=====

Which formula does entry 2 have? Rb2ZnNO